The following is a DFT calculation (SCAN) of a PBEsol-optimized structure of B3PCl.

E_form (uncorrected), meV per atom: 1542
Raw total energy, eV/atom: -6.591
DOS(E_F), states/eV per cell: 2.5
Total magnetic moment, μB per formula unit: 0.00

abc: 3.9691 3.9691 3.9691
angles: 90.00 90.00 90.00
Closest atoms and distances in Å follow each position.
Positions (direct):
1 B 0.0000 0.0000 0.5000  2 P 1.98
2 B 0.0000 0.5000 0.0000  2 P 1.98
3 B 0.5000 0.0000 0.0000  2 P 1.98
4 P 0.0000 0.0000 0.0000  6 B 1.98
5 Cl 0.5000 0.5000 0.5000  12 B 2.81